Material: NdTmCo
Method: DFT, PBE
State: optimized geometry

energy above the most stable polymorph in this dataset: 97 meV/atom
ΔE_f: -0.02 eV per atom
final energy: -5.469 eV per atom
D(E_F): 2.6 states/eV per cell
space-group type: P3m1, No. 156

Lattice parameters (Å, degrees): 3.925 3.925 6.176 90.00 90.00 120.00
Sites, in units of the cell vectors:
Nd (0.000, 0.000, 0.000)
Tm (0.667, 0.333, 0.535)
Co (0.333, 0.667, 0.757)


Material: Zr2UPa
Method: DFT, PBE
State: optimized geometry

energy above the most stable polymorph in this dataset: 0 meV/atom
ΔE_f: 0.21 eV per atom
final energy: -9.256 eV per atom
D(E_F): 8.2 states/eV per cell
space-group type: P4/mmm, No. 123

Lattice parameters (Å, degrees): 3.002 3.002 10.258 90.00 90.00 90.00
Sites, in units of the cell vectors:
Zr (0.000, 0.000, 0.246)
Zr (0.000, 0.000, 0.754)
U (0.500, 0.500, 0.000)
Pa (0.500, 0.500, 0.500)


Material: Ba2EuCu
Method: DFT, PBE
State: optimized geometry

energy above the most stable polymorph in this dataset: 147 meV/atom
ΔE_f: 0.20 eV per atom
final energy: -4.355 eV per atom
D(E_F): 4.5 states/eV per cell
space-group type: R-3m, No. 166

Lattice parameters (Å, degrees): 12.217 12.217 12.217 20.64 20.64 20.64
Sites, in units of the cell vectors:
Ba (0.113, 0.113, 0.113)
Ba (0.887, 0.887, 0.887)
Eu (0.000, 0.000, 0.000)
Cu (0.500, 0.500, 0.500)


Material: Pm8Sm4Y
Method: DFT, PBE
State: optimized geometry

ΔE_f: 0.48 eV per atom
final energy: -4.397 eV per atom
D(E_F): 19.7 states/eV per cell
space-group type: R-3m, No. 166

Lattice parameters (Å, degrees): 7.904 7.904 7.904 90.68 90.68 90.68
Sites, in units of the cell vectors:
Pm (0.237, 0.237, 0.755)
Pm (0.237, 0.755, 0.237)
Pm (0.238, 0.238, 0.238)
Pm (0.245, 0.763, 0.763)
Pm (0.755, 0.237, 0.237)
Pm (0.762, 0.762, 0.762)
Pm (0.763, 0.245, 0.763)
Pm (0.763, 0.763, 0.245)
Sm (0.000, 0.000, 0.000)
Sm (0.000, 0.500, 0.500)
Sm (0.500, 0.000, 0.500)
Sm (0.500, 0.500, 0.000)
Y (0.500, 0.500, 0.500)


Material: CeSm2Zn2Sn2
Method: DFT, PBE
State: optimized geometry

ΔE_f: -0.35 eV per atom
final energy: -4.054 eV per atom
D(E_F): 7.9 states/eV per cell
space-group type: R-3m, No. 166

Lattice parameters (Å, degrees): 10.109 10.109 10.109 26.64 26.64 26.64
Sites, in units of the cell vectors:
Ce (0.000, 0.000, 0.000)
Sm (0.128, 0.128, 0.128)
Sm (0.872, 0.872, 0.872)
Zn (0.387, 0.387, 0.387)
Zn (0.613, 0.613, 0.613)
Sn (0.261, 0.261, 0.261)
Sn (0.739, 0.739, 0.739)


Material: Rb3AlW
Method: DFT, PBE
State: optimized geometry

energy above the most stable polymorph in this dataset: 0 meV/atom
ΔE_f: 1.70 eV per atom
final energy: -2.220 eV per atom
D(E_F): 4.7 states/eV per cell
space-group type: Pm-3m, No. 221

Lattice parameters (Å, degrees): 6.779 6.779 6.779 90.00 90.00 90.00
Sites, in units of the cell vectors:
Rb (0.000, 0.000, 0.500)
Rb (0.000, 0.500, 0.000)
Rb (0.500, 0.000, 0.000)
Al (0.000, 0.000, 0.000)
W (0.500, 0.500, 0.500)


Material: CaHoGeN3
Method: DFT, PBE
State: optimized geometry

final energy: -6.770 eV per atom
formation energy (no corrections): -0.741 eV/atom
space-group type: P2_1/m, No. 11

Lattice parameters (Å, degrees): 6.732 3.303 9.212 90.00 93.59 90.00
Sites, in units of the cell vectors:
Ca (0.178, 0.250, 0.217)
Ca (0.822, 0.750, 0.783)
Ho (0.359, 0.750, 0.879)
Ho (0.641, 0.250, 0.121)
Ge (0.119, 0.250, 0.594)
Ge (0.881, 0.750, 0.406)
N (0.122, 0.250, 0.789)
N (0.164, 0.750, 0.488)
N (0.392, 0.750, 0.121)
N (0.608, 0.250, 0.879)
N (0.836, 0.250, 0.512)
N (0.878, 0.750, 0.211)


Material: MgBe2Ru
Method: DFT, PBE
State: optimized geometry

ΔE_f: 0.15 eV per atom
final energy: -4.434 eV per atom
D(E_F): 2.7 states/eV per cell
space-group type: F-43m, No. 216

Lattice parameters (Å, degrees): 4.090 4.090 4.090 60.00 60.00 60.00
Sites, in units of the cell vectors:
Mg (0.000, 0.000, 0.000)
Be (0.250, 0.250, 0.250)
Be (0.500, 0.500, 0.500)
Ru (0.750, 0.750, 0.750)


Material: AcPr2Ru
Method: DFT, PBE
State: optimized geometry

energy above the most stable polymorph in this dataset: 151 meV/atom
ΔE_f: -0.01 eV per atom
final energy: -5.749 eV per atom
D(E_F): 3.5 states/eV per cell
space-group type: R3m, No. 160

Lattice parameters (Å, degrees): 9.918 9.918 9.918 23.85 23.85 23.85
Sites, in units of the cell vectors:
Ac (0.000, 0.000, 0.000)
Pr (0.553, 0.553, 0.553)
Pr (0.779, 0.779, 0.779)
Ru (0.166, 0.166, 0.166)


Material: HfCrCu2Ge
Method: DFT, PBE
State: optimized geometry

ΔE_f: 0.97 eV per atom
final energy: -5.505 eV per atom
D(E_F): 3.7 states/eV per cell
space-group type: P4/mmm, No. 123

Lattice parameters (Å, degrees): 4.518 4.518 4.578 90.00 90.00 90.00
Sites, in units of the cell vectors:
Hf (0.000, 0.000, 0.000)
Cr (0.000, 0.000, 0.500)
Cu (0.000, 0.500, 0.500)
Cu (0.500, 0.000, 0.500)
Ge (0.500, 0.500, 0.000)


Material: CuPbAu2
Method: DFT, PBE
State: optimized geometry

ΔE_f: 0.13 eV per atom
final energy: -3.459 eV per atom
D(E_F): 1.6 states/eV per cell
space-group type: Pmmm, No. 47

Lattice parameters (Å, degrees): 4.061 4.250 4.506 90.00 90.00 90.00
Sites, in units of the cell vectors:
Cu (0.000, 0.000, 0.000)
Pb (0.500, 0.500, 0.000)
Au (0.000, 0.500, 0.500)
Au (0.500, 0.000, 0.500)


Material: SrFeCl
Method: DFT, PBE
State: optimized geometry

final energy: -4.174 eV per atom
formation energy (no corrections): -0.177 eV/atom
D(E_F): 2.1 states/eV per cell
space-group type: I4mm, No. 107

Lattice parameters (Å, degrees): 6.936 6.936 6.936 150.53 150.53 42.17
Sites, in units of the cell vectors:
Sr (0.000, 0.000, 0.000)
Fe (0.671, 0.671, 0.000)
Cl (0.370, 0.370, 0.000)